[1]
VASP calculation (PBE-GGA) on a relaxed structure of CdCuOs2.

Structure (POSCAR):
```
CdCuOs2
1.0
-2.5434 -4.7577 -0.9862
2.3772 2.8256 -4.0549
2.0016 -1.6294 -0.8171
Cd Cu Os
1 1 2
Direct
0.5000 0.0000 0.5000
0.0000 0.5000 0.5000
0.0000 0.0000 0.0000
0.5000 0.5000 0.0000
```

Values from the calculation:
Its density of states at the Fermi level is 0.97 states/eV per atom. The space group is No. 12. Its energy of formation from the pure elements is 59.9 kJ/mol of atoms.



[2]
VASP calculation (PBE-GGA) on a relaxed structure of NaHgIr2.

Structure (POSCAR):
```
NaHgIr2
1.0
8.0390 0.0000 0.0000
0.0000 8.0390 0.0000
4.0195 4.0195 2.4874
Na Ir Hg
2 4 2
Direct
0.5000 0.5000 0.0000
0.2500 0.7500 0.5000
0.6654 0.1250 0.2500
0.0846 0.6250 0.2500
0.3750 0.3346 0.7500
0.8750 0.9154 0.7500
0.0000 0.0000 0.0000
0.7500 0.2500 0.5000
```

Values from the calculation:
Its density of states at the Fermi level is 0.73 states/eV per atom. The space group is No. 122. Its energy of formation from the pure elements is 81.1 kJ/mol of atoms.



[3]
VASP calculation (PBE-GGA) on a relaxed structure of Rb3AgAu2Br6.

Structure (POSCAR):
```
Rb3AgAu2Br6
1.0
-5.4521 5.0257 3.6298
-0.7389 -8.1808 0.8283
5.1559 0.2793 7.3576
Rb Ag Au Br
3 1 2 6
Direct
0.3333 0.6667 0.6610
0.6667 0.3333 0.3390
0.0000 0.0000 0.0000
0.0000 0.0000 0.5000
0.6667 0.3333 0.7211
0.3333 0.6667 0.2789
0.6926 0.8463 0.2916
0.1537 0.3074 0.2916
0.1537 0.8463 0.2916
0.8463 0.6926 0.7084
0.3074 0.1537 0.7084
0.8463 0.1537 0.7084
```

Values from the calculation:
The calculation puts the uncorrected formation energy at -842 meV/atom. The space group is No. 164.



[4]
VASP calculation (PBE-GGA) on a relaxed structure of MgZn2As2O8.

Structure (POSCAR):
```
MgZn2As2O8
1.0
8.5544 0.0000 0.0000
0.0000 5.3590 -0.0161
0.0000 4.4644 7.8798
Mg Zn As O
2 4 4 16
Direct
0.0000 0.0000 0.0000
0.5000 0.0000 0.5000
0.3596 0.9837 0.1114
0.6404 0.0163 0.8886
0.8596 0.0163 0.3886
0.1404 0.9837 0.6114
0.6930 0.6500 0.3032
0.3070 0.3500 0.6968
0.1930 0.3500 0.1968
0.8070 0.6500 0.8032
0.6377 0.7307 0.4566
0.3623 0.2693 0.5434
0.1377 0.2693 0.0434
0.8623 0.7307 0.9566
0.5652 0.7889 0.1338
0.4348 0.2111 0.8662
0.0652 0.2111 0.3662
0.9348 0.7889 0.6338
0.8713 0.8277 0.2409
0.1287 0.1723 0.7591
0.3713 0.1723 0.2591
0.6287 0.8277 0.7409
0.6956 0.2861 0.3826
0.3044 0.7139 0.6174
0.1956 0.7139 0.1174
0.8044 0.2861 0.8826
```

Values from the calculation:
The calculation puts the uncorrected formation energy at -1582 meV/atom. Its density of states at the Fermi level is 0.00 states/eV per atom. The space group is No. 14.



[5]
VASP calculation (PBE-GGA) on a relaxed structure of InP2Pt7.

Structure (POSCAR):
```
InP2Pt7
1.0
3.9121 0.0000 -0.7528
-0.1448 3.9095 -0.7528
-0.0051 -0.0053 10.5156
In P Pt
1 2 7
Direct
0.0000 0.0000 0.0000
0.6731 0.6731 0.3462
0.3269 0.3269 0.6538
0.1059 0.6059 0.2117
0.3941 0.8941 0.7883
0.6059 0.1059 0.2117
0.5000 0.5000 0.0000
0.7500 0.2500 0.5000
0.8941 0.3941 0.7883
0.2500 0.7500 0.5000
```

Values from the calculation:
Its density of states at the Fermi level is 0.28 states/eV per atom. The space group is No. 139. Its energy of formation from the pure elements is -38.3 kJ/mol of atoms.



[6]
VASP calculation (PBE-GGA) on a relaxed structure of CoRe2N.

Structure (POSCAR):
```
CoRe2N
1.0
4.9255 0.0000 0.0000
0.0000 4.9255 0.0000
2.4628 2.4628 4.8222
Re Co N
4 2 2
Direct
0.5699 0.1250 0.2500
0.1801 0.6250 0.2500
0.3750 0.4301 0.7500
0.8750 0.8199 0.7500
0.0000 0.0000 0.0000
0.7500 0.2500 0.5000
0.5000 0.5000 0.0000
0.2500 0.7500 0.5000
```

Values from the calculation:
The calculation puts the uncorrected formation energy at 763 meV/atom. Its density of states at the Fermi level is 0.38 states/eV per atom. The space group is No. 122.



[7]
VASP calculation (PBE-GGA) on a relaxed structure of ReSbAu2.

Structure (POSCAR):
```
ReSbAu2
1.0
-2.8218 0.5433 -0.5778
-0.6644 -0.4541 2.8185
1.3271 8.7189 1.7174
Au Re Sb
2 1 1
Direct
0.0000 0.0000 0.0339
0.0000 0.0000 0.4661
0.5000 0.5000 0.2500
0.5000 0.5000 0.7500
```

Values from the calculation:
The calculation puts the uncorrected formation energy at 534 meV/atom. Its density of states at the Fermi level is 0.79 states/eV per atom. The space group is No. 123.



[8]
VASP calculation (PBE-GGA) on a relaxed structure of Ba8PdPt2Rh.

Structure (POSCAR):
```
Ba8PdPt2Rh
1.0
7.5813 -0.0197 -0.0048
0.0330 7.4665 -0.0097
0.0055 0.0103 9.3477
Ba Pd Pt Rh
8 1 2 1
Direct
0.1788 0.7788 0.2431
0.6819 0.7263 0.0001
0.8215 0.2215 0.2431
0.8212 0.2212 0.7569
0.3181 0.2737 0.9999
0.1785 0.7785 0.7569
0.6760 0.7179 0.5000
0.3240 0.2821 0.5000
0.0000 0.0000 0.5000
0.5001 0.5001 0.7516
0.4999 0.4999 0.2484
0.0000 0.0000 0.0000
```

Values from the calculation:
Its density of states at the Fermi level is 0.67 states/eV per atom. The space group is No. 10. Its energy of formation from the pure elements is -44.7 kJ/mol of atoms.



What did the eighth record say?
VASP calculation (PBE-GGA) on a relaxed structure of Ba8PdPt2Rh.

Structure (POSCAR):
```
Ba8PdPt2Rh
1.0
7.5813 -0.0197 -0.0048
0.0330 7.4665 -0.0097
0.0055 0.0103 9.3477
Ba Pd Pt Rh
8 1 2 1
Direct
0.1788 0.7788 0.2431
0.6819 0.7263 0.0001
0.8215 0.2215 0.2431
0.8212 0.2212 0.7569
0.3181 0.2737 0.9999
0.1785 0.7785 0.7569
0.6760 0.7179 0.5000
0.3240 0.2821 0.5000
0.0000 0.0000 0.5000
0.5001 0.5001 0.7516
0.4999 0.4999 0.2484
0.0000 0.0000 0.0000
```

Values from the calculation:
Its density of states at the Fermi level is 0.67 states/eV per atom. The space group is No. 10. Its energy of formation from the pure elements is -44.7 kJ/mol of atoms.



Copy entry 7 word for word.
VASP calculation (PBE-GGA) on a relaxed structure of ReSbAu2.

Structure (POSCAR):
```
ReSbAu2
1.0
-2.8218 0.5433 -0.5778
-0.6644 -0.4541 2.8185
1.3271 8.7189 1.7174
Au Re Sb
2 1 1
Direct
0.0000 0.0000 0.0339
0.0000 0.0000 0.4661
0.5000 0.5000 0.2500
0.5000 0.5000 0.7500
```

Values from the calculation:
The calculation puts the uncorrected formation energy at 534 meV/atom. Its density of states at the Fermi level is 0.79 states/eV per atom. The space group is No. 123.



> Number 1 is which compound?

CdCuOs2